This record from Alexandria describes a relaxed GaClO2 crystal. The functional is PBE.

Summary:
Excess energy over the best structure of this formula in the dataset in eV/f.u.: 1.39
E_form (uncorrected) in eV/atom: -0.561
Volume in A^3/atom: 15.75

Cell: 5.4251 5.4251 8.5628 Å, 90.00 90.00 90.00°
Space group I-42d (No. 122)
Inequivalent atoms, fractional coordinates:
Ga 0.0000 0.0000 0.0000 (multiplicity 4)
Cl 0.0000 0.0000 0.5000 (multiplicity 4)
O 0.1271 0.2500 0.1250 (multiplicity 8)



This record from Alexandria describes a relaxed GaClO2 crystal. The functional is PBE.

Summary:
Excess energy over the best structure of this formula in the dataset in eV/f.u.: 4.92
E_form (uncorrected) in eV/atom: 0.323
Volume in A^3/atom: 16.70

Cell: 3.3462 3.3462 20.6636 Å, 90.00 90.00 120.00°
Space group R-3m (No. 166, hexagonal axes)
Inequivalent atoms, fractional coordinates:
Ga 0.0000 0.0000 0.0000 (multiplicity 3)
Cl 0.0000 0.0000 0.5000 (multiplicity 3)
O 0.0000 0.0000 0.0825 (multiplicity 6)



This record from Alexandria describes a relaxed GaClO2 crystal. The functional is PBE.

Summary:
Excess energy over the best structure of this formula in the dataset in eV/f.u.: 5.74
E_form (uncorrected) in eV/atom: 0.527
Volume in A^3/atom: 11.81

Cell: 5.7387 5.7387 5.7387 Å, 90.00 90.00 90.00°
Space group Fm-3m (No. 225)
Inequivalent atoms, fractional coordinates:
Ga 0.0000 0.0000 0.0000 (multiplicity 4)
Cl 0.0000 0.0000 0.5000 (multiplicity 4)
O 0.2500 0.2500 0.2500 (multiplicity 8)



This record from Alexandria describes a relaxed GaOsClO2 crystal. The functional is PBE.

Summary:
E_form (uncorrected) in eV/atom: -0.501
Volume in A^3/atom: 16.77

Cell: 3.8390 3.8390 5.6909 Å, 90.00 90.00 90.00°
Space group P4/mmm (No. 123)
Inequivalent atoms, fractional coordinates:
Ga 0.0000 0.0000 0.0000 (multiplicity 1)
Os 0.5000 0.5000 0.5000 (multiplicity 1)
Cl 0.5000 0.5000 0.0000 (multiplicity 1)
O 0.0000 0.5000 0.5000 (multiplicity 2)